# 1
# Ba12Ag3N5 (PBE, relaxed)
data_Ba12Ag3N5
_cell_length_a 17.9515
_cell_length_b 17.9515
_cell_length_c 17.9515
_cell_angle_alpha 90.00
_cell_angle_beta 90.00
_cell_angle_gamma 90.00
_symmetry_space_group_name_H-M 'I a -3 d'
_symmetry_Int_Tables_number 230
_symmetry_space_group_name_Hall '-I 4bd 2c 3'
loop_
_atom_site_label
_atom_site_type_symbol
_atom_site_fract_x
_atom_site_fract_y
_atom_site_fract_z
Ba1 Ba 0.0321 0.0473 0.6496
Ag1 Ag 0.0000 0.2500 0.1250
N1 N 0.0000 0.0000 0.0000
N2 N 0.0000 0.2500 0.3750
# Energy relative to the elements, uncorrected: -0.24 eV per atom
# Total magnetic moment: 0.33 μB per formula unit
# ρ: 4.69 g/cm³

=====

# 2
# MnMo2Ir (PBE, relaxed)
data_MnMo2Ir
_cell_length_a 5.4389
_cell_length_b 7.8196
_cell_length_c 2.7426
_cell_angle_alpha 90.00
_cell_angle_beta 90.11
_cell_angle_gamma 90.00
_symmetry_space_group_name_H-M 'C 1 2/m 1'
_symmetry_Int_Tables_number 12
loop_
_symmetry_equiv_pos_as_xyz
'x,y,z'
'-x,-y,-z'
'-x,y,-z'
'x,-y,z'
'x+1/2,y+1/2,z'
'-x+1/2,-y+1/2,-z'
'-x+1/2,y+1/2,-z'
'x+1/2,-y+1/2,z'
loop_
_atom_site_label
_atom_site_type_symbol
_atom_site_fract_x
_atom_site_fract_y
_atom_site_fract_z
Mn1 Mn 0.0000 0.0000 0.0000
Mo1 Mo 0.2500 0.2500 0.5000
Ir1 Ir 0.0000 0.5000 0.0000
# Offset from the most stable computed form: 0.12 eV per formula unit
# Total magnetic moment: 1.54 μB per formula unit
# ρ: 12.50 g/cm³
# Energy relative to the elements: -0.041 eV per atom

=====

# 3
# Sn5Sb4Se (PBE, relaxed)
data_Sn5Sb4Se
_cell_length_a 4.3408
_cell_length_b 4.3408
_cell_length_c 30.9302
_cell_angle_alpha 90.00
_cell_angle_beta 90.00
_cell_angle_gamma 90.00
_symmetry_space_group_name_H-M 'I 4/m m m'
_symmetry_Int_Tables_number 139
_symmetry_space_group_name_Hall '-I 4 2'
loop_
_atom_site_label
_atom_site_type_symbol
_atom_site_fract_x
_atom_site_fract_y
_atom_site_fract_z
Sn1 Sn 0.0000 0.0000 0.0000
Sn2 Sn 0.0000 0.0000 0.2015
Sn3 Sn 0.0000 0.0000 0.4021
Sb1 Sb 0.0000 0.0000 0.1000
Sb2 Sb 0.0000 0.0000 0.3013
Se1 Se 0.0000 0.0000 0.5000
# Energy relative to the elements, uncorrected: -0.07 eV per atom
# Total magnetic moment: 0.00 μB per formula unit
# ρ: 6.61 g/cm³

=====

# 4
# Nd2Te (PBE, relaxed)
data_Nd2Te
_cell_length_a 8.5486
_cell_length_b 4.0640
_cell_length_c 11.0740
_cell_angle_alpha 90.00
_cell_angle_beta 90.00
_cell_angle_gamma 90.00
_symmetry_space_group_name_H-M 'P n m a'
_symmetry_Int_Tables_number 62
loop_
_symmetry_equiv_pos_as_xyz
'x,y,z'
'-x,-y,-z'
'-x+1/2,-y,z+1/2'
'x+1/2,y,-z+1/2'
'x+1/2,-y+1/2,-z+1/2'
'-x+1/2,y+1/2,z+1/2'
'-x,y+1/2,-z'
'x,-y+1/2,z'
loop_
_atom_site_label
_atom_site_type_symbol
_atom_site_fract_x
_atom_site_fract_y
_atom_site_fract_z
Nd1 Nd 0.0130 0.2500 0.1719
Nd2 Nd 0.1637 0.7500 0.4437
Te1 Te 0.1900 0.2500 0.6686
# Energy relative to the elements, uncorrected: -0.93 eV per atom
# Total magnetic moment: 0.00 μB per formula unit
# ρ: 7.18 g/cm³

=====

# 5
# CsPmFe2Br8 (PBE, relaxed)
data_CsPmFe2Br8
_cell_length_a 11.4456
_cell_length_b 7.8424
_cell_length_c 10.6539
_cell_angle_alpha 90.00
_cell_angle_beta 97.74
_cell_angle_gamma 90.00
_symmetry_space_group_name_H-M 'C 1 2/m 1'
_symmetry_Int_Tables_number 12
loop_
_symmetry_equiv_pos_as_xyz
'x,y,z'
'-x,-y,-z'
'-x,y,-z'
'x,-y,z'
'x+1/2,y+1/2,z'
'-x+1/2,-y+1/2,-z'
'-x+1/2,y+1/2,-z'
'x+1/2,-y+1/2,z'
loop_
_atom_site_label
_atom_site_type_symbol
_atom_site_fract_x
_atom_site_fract_y
_atom_site_fract_z
Cs1 Cs 0.0000 0.0000 0.0000
Pm1 Pm 0.0000 0.0000 0.5000
Fe1 Fe 0.1152 0.5000 0.2920
Br1 Br 0.0204 0.2522 0.7014
Br2 Br 0.1867 0.5000 0.0941
Br3 Br 0.2475 0.5000 0.4932
# Energy relative to the elements, uncorrected: -1.10 eV per atom
# Total magnetic moment: 8.00 μB per formula unit
# ρ: 3.61 g/cm³

=====

# 6
# VSbTe2C (PBE, relaxed)
data_VSbTe2C
_cell_length_a 5.1011
_cell_length_b 5.1011
_cell_length_c 5.1493
_cell_angle_alpha 90.00
_cell_angle_beta 90.00
_cell_angle_gamma 90.00
_symmetry_space_group_name_H-M 'P 4/m m m'
_symmetry_Int_Tables_number 123
_symmetry_space_group_name_Hall '-P 4 2'
loop_
_atom_site_label
_atom_site_type_symbol
_atom_site_fract_x
_atom_site_fract_y
_atom_site_fract_z
V1 V 0.0000 0.0000 0.0000
Sb1 Sb 0.0000 0.0000 0.5000
Te1 Te 0.0000 0.5000 0.0000
C1 C 0.5000 0.5000 0.5000
# Energy relative to the elements, uncorrected: 1.50 eV per atom
# Offset from the most stable computed form: 1.22 eV per formula unit
# Total magnetic moment: 1.97 μB per formula unit
# ρ: 5.45 g/cm³

=====

# 7
# La9Tl2Hg (PBE, relaxed)
data_La9Tl2Hg
_cell_length_a 5.0622
_cell_length_b 5.0622
_cell_length_c 15.1334
_cell_angle_alpha 90.00
_cell_angle_beta 90.00
_cell_angle_gamma 90.00
_symmetry_space_group_name_H-M 'P 4/m m m'
_symmetry_Int_Tables_number 123
_symmetry_space_group_name_Hall '-P 4 2'
loop_
_atom_site_label
_atom_site_type_symbol
_atom_site_fract_x
_atom_site_fract_y
_atom_site_fract_z
La1 La 0.0000 0.0000 0.0000
La2 La 0.0000 0.0000 0.3313
La3 La 0.0000 0.5000 0.1648
La4 La 0.0000 0.5000 0.5000
Tl1 Tl 0.5000 0.5000 0.3318
Hg1 Hg 0.5000 0.5000 0.0000
# Total magnetic moment: 0.00 μB per formula unit
# ρ: 7.96 g/cm³
# Energy relative to the elements: -0.232 eV per atom